Crystalline LiLuHfIr at its relaxed geometry. Source: Alexandria via LeMat-Bulk, functional PBE-GGA.

Cell and atoms, written as POSCAR:
```
LiLuHfIr
1.0
0.0000 3.3333 3.3333
3.3333 0.0000 3.3333
3.3333 3.3333 0.0000
Li Lu Hf Ir
1 1 1 1
direct
0.0000 0.0000 0.0000 Li
0.2500 0.2500 0.2500 Lu
0.7500 0.7500 0.7500 Hf
0.5000 0.5000 0.5000 Ir
```

Calculated values
As for the space group: F-43m, No. 216.

---

Crystalline Na3Ca2BiO6 at its relaxed geometry. Source: Alexandria via LeMat-Bulk, functional PBE-GGA.

Cell and atoms, written as POSCAR:
```
Na3Ca2BiO6
1.0
2.9495 -5.1087 0.0000
2.9495 5.1087 0.0000
-1.9869 0.0000 5.5971
Na Ca Bi O
3 2 1 6
direct
0.0000 0.0000 0.0000 Na
0.3378 0.6622 0.0000 Na
0.6622 0.3378 0.0000 Na
0.1670 0.8330 0.5000 Ca
0.8330 0.1670 0.5000 Ca
0.5000 0.5000 0.5000 Bi
0.1202 0.4270 0.2802 O
0.2650 0.2650 0.7141 O
0.4270 0.1202 0.2802 O
0.5730 0.8798 0.7198 O
0.7350 0.7350 0.2859 O
0.8798 0.5730 0.7198 O
```

Calculated values
Its relative energy among the computed polymorphs is 5 meV per atom. Its formation energy (no corrections) is -44.5 kcal/mol of atoms. As for the space group: C2/m, No. 12.

---

Crystalline CaDy3Y3 at its relaxed geometry. Source: Alexandria via LeMat-Bulk, functional PBE-GGA.

Cell and atoms, written as POSCAR:
```
CaDy3Y3
1.0
6.8149 0.0000 0.0000
1.8654 8.3082 0.0000
2.8436 3.2350 8.2038
Ca Dy Y
2 6 6
direct
0.0222 0.0956 0.1339 Ca
0.9778 0.9044 0.8661 Ca
0.1216 0.4779 0.1598 Dy
0.2731 0.0492 0.4372 Dy
0.4584 0.8031 0.9911 Dy
0.5416 0.1969 0.0089 Dy
0.7269 0.9508 0.5628 Dy
0.8784 0.5221 0.8402 Dy
0.1658 0.6641 0.4205 Y
0.3191 0.2456 0.6963 Y
0.4107 0.6183 0.7267 Y
0.5893 0.3817 0.2733 Y
0.6809 0.7544 0.3037 Y
0.8342 0.3359 0.5795 Y
```

Calculated values
As for the space group: P-1, No. 2.

---

Number 1: mass density 12.4 g/cm³, E_tot -6.888 eV/atom. Number 2: mass density 4.5 g/cm³, E_tot -5.396 eV/atom. Number 3: mass density 5.7 g/cm³, E_tot -4.981 eV/atom.